DFT (GGA-PBE) results for a relaxed Y2Hg2O crystal.

Structure (CIF):
```
data_Y2Hg2O
_cell_length_a 6.4938
_cell_length_b 6.4938
_cell_length_c 5.4995
_cell_angle_alpha 90.00
_cell_angle_beta 90.00
_cell_angle_gamma 90.00
_symmetry_space_group_name_H-M 'P 4/m b m'
_symmetry_Int_Tables_number 127
_symmetry_space_group_name_Hall '-P 4 2ab'
loop_
_atom_site_label
_atom_site_type_symbol
_atom_site_fract_x
_atom_site_fract_y
_atom_site_fract_z
Y1 Y 0.1851 0.3149 0.0000
Hg1 Hg 0.1546 0.6546 0.5000
O1 O 0.0000 0.0000 0.0000
```

Formation energy (no corrections) = -1.172 eV/atom

DFT (GGA-PBE) results for a relaxed KYZn2Cr crystal.

Structure (CIF):
```
data_KYZn2Cr
_cell_length_a 5.5411
_cell_length_b 5.5411
_cell_length_c 6.5397
_cell_angle_alpha 90.00
_cell_angle_beta 90.00
_cell_angle_gamma 90.00
_symmetry_space_group_name_H-M 'P 4/m m m'
_symmetry_Int_Tables_number 123
_symmetry_space_group_name_Hall '-P 4 2'
loop_
_atom_site_label
_atom_site_type_symbol
_atom_site_fract_x
_atom_site_fract_y
_atom_site_fract_z
K1 K 0.0000 0.0000 0.0000
Y1 Y 0.0000 0.0000 0.5000
Zn1 Zn 0.0000 0.5000 0.5000
Cr1 Cr 0.5000 0.5000 0.0000
```

Energy of formation from the pure elements = 1.2673 eV per atom

DFT (GGA-PBE) results for a relaxed PmHoHfTh crystal.

Structure (CIF):
```
data_PmHoHfTh
_cell_length_a 7.7611
_cell_length_b 7.7611
_cell_length_c 7.7611
_cell_angle_alpha 90.00
_cell_angle_beta 90.00
_cell_angle_gamma 90.00
_symmetry_space_group_name_H-M 'F -4 3 m'
_symmetry_Int_Tables_number 216
_symmetry_space_group_name_Hall 'F -4 2 3'
loop_
_atom_site_label
_atom_site_type_symbol
_atom_site_fract_x
_atom_site_fract_y
_atom_site_fract_z
Pm1 Pm 0.0000 0.0000 0.0000
Ho1 Ho 0.2500 0.2500 0.7500
Hf1 Hf 0.2500 0.2500 0.2500
Th1 Th 0.0000 0.0000 0.5000
```

Energy of formation from the pure elements = 0.2084 eV per atom

DFT (GGA-PBE) results for a relaxed CaTaRh2 crystal.

Structure (CIF):
```
data_CaTaRh2
_cell_length_a 3.4477
_cell_length_b 3.4477
_cell_length_c 23.2738
_cell_angle_alpha 90.00
_cell_angle_beta 90.00
_cell_angle_gamma 120.00
_symmetry_space_group_name_H-M 'R -3 m'
_symmetry_Int_Tables_number 166
_symmetry_space_group_name_Hall '-R 3 2"'
loop_
_atom_site_label
_atom_site_type_symbol
_atom_site_fract_x
_atom_site_fract_y
_atom_site_fract_z
Ca1 Ca 0.0000 0.0000 0.0000
Ta1 Ta 0.0000 0.0000 0.5000
Rh1 Rh 0.0000 0.0000 0.2368
```

Energy of formation from the pure elements = -0.2046 eV per atom

DFT (GGA-PBE) results for a relaxed Ba4IrBr2 crystal.

Structure (CIF):
```
data_Ba4IrBr2
_cell_length_a 18.3740
_cell_length_b 4.5900
_cell_length_c 7.6511
_cell_angle_alpha 90.00
_cell_angle_beta 113.39
_cell_angle_gamma 90.00
_symmetry_space_group_name_H-M 'C 1 2/m 1'
_symmetry_Int_Tables_number 12
loop_
_symmetry_equiv_pos_as_xyz
'x,y,z'
'-x,-y,-z'
'-x,y,-z'
'x,-y,z'
'x+1/2,y+1/2,z'
'-x+1/2,-y+1/2,-z'
'-x+1/2,y+1/2,-z'
'x+1/2,-y+1/2,z'
loop_
_atom_site_label
_atom_site_type_symbol
_atom_site_fract_x
_atom_site_fract_y
_atom_site_fract_z
Ba1 Ba 0.1026 0.0000 0.2609
Ba2 Ba 0.1086 0.5000 0.7895
Ir1 Ir 0.0000 0.5000 0.0000
Br1 Br 0.2426 0.0000 0.7521
```

Formation energy (no corrections) = -0.999 eV/atom

DFT (GGA-PBE) results for a relaxed RbBeRu2I crystal.

Structure (CIF):
```
data_RbBeRu2I
_cell_length_a 5.0081
_cell_length_b 5.0081
_cell_length_c 6.6035
_cell_angle_alpha 90.00
_cell_angle_beta 90.00
_cell_angle_gamma 90.00
_symmetry_space_group_name_H-M 'P 4/m m m'
_symmetry_Int_Tables_number 123
_symmetry_space_group_name_Hall '-P 4 2'
loop_
_atom_site_label
_atom_site_type_symbol
_atom_site_fract_x
_atom_site_fract_y
_atom_site_fract_z
Rb1 Rb 0.0000 0.0000 0.0000
Be1 Be 0.5000 0.5000 0.0000
Ru1 Ru 0.0000 0.5000 0.5000
I1 I 0.0000 0.0000 0.5000
```

Formation energy (no corrections) = 1.787 eV/atom

DFT (GGA-PBE) results for a relaxed Y2MgSb crystal.

Structure (CIF):
```
data_Y2MgSb
_cell_length_a 8.3814
_cell_length_b 8.3814
_cell_length_c 6.8190
_cell_angle_alpha 90.00
_cell_angle_beta 90.00
_cell_angle_gamma 90.00
_symmetry_space_group_name_H-M 'I -4 2 d'
_symmetry_Int_Tables_number 122
_symmetry_space_group_name_Hall 'I -4 2bw'
loop_
_atom_site_label
_atom_site_type_symbol
_atom_site_fract_x
_atom_site_fract_y
_atom_site_fract_z
Y1 Y 0.2352 0.2500 0.1250
Mg1 Mg 0.0000 0.0000 0.5000
Sb1 Sb 0.0000 0.0000 0.0000
```

Formation energy (no corrections) = -0.238 eV/atom

DFT (GGA-PBE) results for a relaxed AgIr3O9 crystal.

Structure (CIF):
```
data_AgIr3O9
_cell_length_a 5.2778
_cell_length_b 7.3040
_cell_length_c 8.1042
_cell_angle_alpha 90.00
_cell_angle_beta 92.42
_cell_angle_gamma 90.00
_symmetry_space_group_name_H-M 'P 1 21/m 1'
_symmetry_Int_Tables_number 11
loop_
_symmetry_equiv_pos_as_xyz
'x,y,z'
'-x,-y,-z'
'-x,y+1/2,-z'
'x,-y+1/2,z'
loop_
_atom_site_label
_atom_site_type_symbol
_atom_site_fract_x
_atom_site_fract_y
_atom_site_fract_z
Ag1 Ag 0.0174 0.2500 0.4694
Ir1 Ir 0.0000 0.0000 0.0000
Ir2 Ir 0.4745 0.0004 0.6949
O1 O 0.1271 0.2500 0.9825
O2 O 0.1662 0.5695 0.7976
O3 O 0.2713 0.5356 0.4801
O4 O 0.3143 0.5606 0.1169
O5 O 0.3492 0.2500 0.6803
O6 O 0.3974 0.2500 0.3061
```

Formation energy (no corrections) = -0.506 eV/atom

How do the records compare in VASP energy? In the order shown, they have -4.87, -2.68, -6.47, -7.34, -3.84, -3.17, -4.90, -6.20 eV/atom.